Entry 1:
# Li3BiS3 | the Alexandria database | GGA-PBEsol | optimized geometry
data_Li3BiS3
_space_group_name_H-M_alt 'P n a 21'
_space_group_IT_number 33
_space_group_name_Hall 'P 2c -2n'
_cell_length_a 7.440
_cell_length_b 6.815
_cell_length_c 10.180
_cell_angle_alpha 90.00
_cell_angle_beta 90.00
_cell_angle_gamma 90.00
loop_
_atom_site_label
_atom_site_type_symbol
_atom_site_fract_x
_atom_site_fract_y
_atom_site_fract_z
Li1 Li 0.044 0.028 0.000
Li2 Li 0.115 0.332 0.438
Li3 Li 0.233 0.356 0.145
Bi1 Bi 0.201 0.379 0.765
S1 S 0.031 0.129 0.259
S2 S 0.154 0.679 0.452
S3 S 0.161 0.681 0.073
# polymorph energy (0 for the lowest one) = 0.0091 eV/atom
# formation energy without anion corrections = -0.98 eV/atom

Entry 2:
# Li5BiS4 | the Alexandria database | GGA-PBEsol | optimized geometry
data_Li5BiS4
_space_group_name_H-M_alt 'P b c a'
_space_group_IT_number 61
_space_group_name_Hall '-P 2ac 2ab'
_cell_length_a 10.888
_cell_length_b 11.633
_cell_length_c 11.773
_cell_angle_alpha 90.00
_cell_angle_beta 90.00
_cell_angle_gamma 90.00
loop_
_atom_site_label
_atom_site_type_symbol
_atom_site_fract_x
_atom_site_fract_y
_atom_site_fract_z
Li1 Li 0.107 0.140 0.151
Li2 Li 0.135 0.584 0.860
Li3 Li 0.146 0.098 0.598
Li4 Li 0.148 0.641 0.363
Li5 Li 0.148 0.652 0.093
Bi1 Bi 0.061 0.145 0.856
S1 S 0.012 0.727 0.957
S2 S 0.023 0.540 0.219
S3 S 0.200 0.025 0.994
S4 S 0.247 0.720 0.737
# polymorph energy (0 for the lowest one) = 0.0222 eV/atom
# formation energy without anion corrections = -1.05 eV/atom

Entry 3:
# Li3BiS3 | the Alexandria database | GGA-PBEsol | optimized geometry
data_Li3BiS3
_space_group_name_H-M_alt 'P 1 21/c 1'
_space_group_IT_number 14
_space_group_name_Hall '-P 2ybc'
_cell_length_a 3.861
_cell_length_b 12.110
_cell_length_c 12.058
_cell_angle_alpha 90.00
_cell_angle_beta 103.96
_cell_angle_gamma 90.00
loop_
_atom_site_label
_atom_site_type_symbol
_atom_site_fract_x
_atom_site_fract_y
_atom_site_fract_z
Li1 Li 0.028 0.224 0.027
Li2 Li 0.291 0.044 0.398
Li3 Li 0.354 0.545 0.385
Bi1 Bi 0.335 0.698 0.752
S1 S 0.197 0.089 0.595
S2 S 0.231 0.129 0.212
S3 S 0.444 0.147 0.930
# polymorph energy (0 for the lowest one) = 0.0439 eV/atom
# formation energy without anion corrections = -0.94 eV/atom

Entry 4:
# LiBi2S | the Alexandria database | GGA-PBEsol | optimized geometry
data_LiBi2S
_space_group_name_H-M_alt 'I -4 2 d'
_space_group_IT_number 122
_space_group_name_Hall 'I -4 2bw'
_cell_length_a 4.459
_cell_length_b 4.459
_cell_length_c 20.954
_cell_angle_alpha 90.00
_cell_angle_beta 90.00
_cell_angle_gamma 90.00
loop_
_atom_site_label
_atom_site_type_symbol
_atom_site_fract_x
_atom_site_fract_y
_atom_site_fract_z
Li1 Li 0.000 0.000 0.000
Bi1 Bi 0.228 0.250 0.625
S1 S 0.000 0.000 0.500
# formation energy without anion corrections = -0.16 eV/atom

Entry 5:
# Li5BiS4 | the Alexandria database | GGA-PBEsol | optimized geometry
data_Li5BiS4
_space_group_name_H-M_alt 'P m m n'
_space_group_IT_number 59
_cell_length_a 7.702
_cell_length_b 9.104
_cell_length_c 5.638
_cell_angle_alpha 90.00
_cell_angle_beta 90.00
_cell_angle_gamma 90.00
loop_
_space_group_symop_operation_xyz
'x,y,z'
'-x,-y,-z'
'-x+1/2,-y+1/2,z'
'x+1/2,y+1/2,-z'
'x+1/2,-y,-z'
'-x+1/2,y,z'
'-x,y+1/2,-z'
'x,-y+1/2,z'
loop_
_atom_site_label
_atom_site_type_symbol
_atom_site_fract_x
_atom_site_fract_y
_atom_site_fract_z
Li1 Li 0.019 0.041 0.247
Li2 Li 0.250 0.750 0.229
Bi1 Bi 0.250 0.250 0.827
S1 S 0.002 0.250 0.520
S2 S 0.250 0.538 0.980
# polymorph energy (0 for the lowest one) = 0.0696 eV/atom
# formation energy without anion corrections = -1.00 eV/atom

Entry 6:
# Li3BiS3 | the Alexandria database | GGA-PBEsol | optimized geometry
data_Li3BiS3
_space_group_name_H-M_alt 'R -3'
_space_group_IT_number 148
_space_group_name_Hall '-R 3'
_cell_length_a 7.0414
_cell_length_b 7.0414
_cell_length_c 19.5088
_cell_angle_alpha 90.00
_cell_angle_beta 90.00
_cell_angle_gamma 120.00
loop_
_atom_site_label
_atom_site_type_symbol
_atom_site_fract_x
_atom_site_fract_y
_atom_site_fract_z
Li1 Li 0.0113 0.7066 0.1201
Bi1 Bi 0.0000 0.0000 0.3316
S1 S 0.0083 0.6399 0.9130
# polymorph energy (0 for the lowest one) = 0.0000 eV/atom
# formation energy without anion corrections = -0.99 eV/atom

Entry 7:
# LiBi2Sb2 | the Alexandria database | GGA-PBEsol | optimized geometry
data_LiBi2Sb2
_space_group_name_H-M_alt 'I 4/m m m'
_space_group_IT_number 139
_space_group_name_Hall '-I 4 2'
_cell_length_a 5.937
_cell_length_b 5.937
_cell_length_c 9.318
_cell_angle_alpha 90.00
_cell_angle_beta 90.00
_cell_angle_gamma 90.00
loop_
_atom_site_label
_atom_site_type_symbol
_atom_site_fract_x
_atom_site_fract_y
_atom_site_fract_z
Li1 Li 0.000 0.000 0.000
Bi1 Bi 0.000 0.000 0.334
Sb1 Sb 0.000 0.500 0.250
# formation energy without anion corrections = 0.08 eV/atom

Entry 8:
# LiBiSb3 | the Alexandria database | GGA-PBEsol | optimized geometry
data_LiBiSb3
_space_group_name_H-M_alt 'P m -3 m'
_space_group_IT_number 221
_space_group_name_Hall '-P 4 2 3'
_cell_length_a 5.825
_cell_length_b 5.825
_cell_length_c 5.825
_cell_angle_alpha 90.00
_cell_angle_beta 90.00
_cell_angle_gamma 90.00
loop_
_atom_site_label
_atom_site_type_symbol
_atom_site_fract_x
_atom_site_fract_y
_atom_site_fract_z
Li1 Li 0.000 0.000 0.000
Bi1 Bi 0.500 0.500 0.500
Sb1 Sb 0.000 0.500 0.500
# formation energy without anion corrections = 0.75 eV/atom

Entry 9:
# LiTa2BiSb | the Alexandria database | GGA-PBEsol | optimized geometry
data_LiTa2BiSb
_space_group_name_H-M_alt 'P 4/m m m'
_space_group_IT_number 123
_space_group_name_Hall '-P 4 2'
_cell_length_a 5.071
_cell_length_b 5.071
_cell_length_c 5.829
_cell_angle_alpha 90.00
_cell_angle_beta 90.00
_cell_angle_gamma 90.00
loop_
_atom_site_label
_atom_site_type_symbol
_atom_site_fract_x
_atom_site_fract_y
_atom_site_fract_z
Li1 Li 0.000 0.000 0.000
Ta1 Ta 0.000 0.500 0.500
Bi1 Bi 0.500 0.500 0.000
Sb1 Sb 0.500 0.500 0.500
# formation energy without anion corrections = 1.59 eV/atom

Entry 10:
# LiSc3Bi | the Alexandria database | GGA-PBEsol | optimized geometry
data_LiSc3Bi
_space_group_name_H-M_alt 'P m -3 m'
_space_group_IT_number 221
_space_group_name_Hall '-P 4 2 3'
_cell_length_a 4.855
_cell_length_b 4.855
_cell_length_c 4.855
_cell_angle_alpha 90.00
_cell_angle_beta 90.00
_cell_angle_gamma 90.00
loop_
_atom_site_label
_atom_site_type_symbol
_atom_site_fract_x
_atom_site_fract_y
_atom_site_fract_z
Li1 Li 0.000 0.000 0.000
Sc1 Sc 0.000 0.000 0.500
Bi1 Bi 0.500 0.500 0.500
# energy of formation from the pure elements = 197 meV/atom

Entry 11:
# LiBiSe2 | the Alexandria database | GGA-PBEsol | optimized geometry
data_LiBiSe2
_space_group_name_H-M_alt 'F m -3 m'
_space_group_IT_number 225
_space_group_name_Hall '-F 4 2 3'
_cell_length_a 7.083
_cell_length_b 7.083
_cell_length_c 7.083
_cell_angle_alpha 90.00
_cell_angle_beta 90.00
_cell_angle_gamma 90.00
loop_
_atom_site_label
_atom_site_type_symbol
_atom_site_fract_x
_atom_site_fract_y
_atom_site_fract_z
Li1 Li 0.000 0.000 0.000
Bi1 Bi 0.000 0.000 0.500
Se1 Se 0.250 0.250 0.250
# formation energy without anion corrections = -0.47 eV/atom

Entry 12:
# Li2SiBi2 | the Alexandria database | GGA-PBEsol | optimized geometry
data_Li2SiBi2
_space_group_name_H-M_alt 'P 4/m b m'
_space_group_IT_number 127
_space_group_name_Hall '-P 4 2ab'
_cell_length_a 8.215
_cell_length_b 8.215
_cell_length_c 3.188
_cell_angle_alpha 90.00
_cell_angle_beta 90.00
_cell_angle_gamma 90.00
loop_
_atom_site_label
_atom_site_type_symbol
_atom_site_fract_x
_atom_site_fract_y
_atom_site_fract_z
Li1 Li 0.114 0.386 0.000
Si1 Si 0.000 0.000 0.000
Bi1 Bi 0.188 0.688 0.500
# formation energy without anion corrections = 0.02 eV/atom